Compound: Cs3MoOs
Source: the Alexandria database
Functional: meta-GGA SCAN
Structure: single point on PBEsol structure

POSCAR file:
```
Cs3MoOs
1.0
-2.872 -4.381 2.250
3.778 -3.630 -2.246
3.159 0.360 4.732
Cs Mo Os
3 1 1
Direct
0.000 0.500 0.000
0.000 0.000 0.500
0.500 0.000 0.000
0.000 0.000 0.000
0.500 0.500 0.500
```

## Properties
DFT formation energy	2.440	eV per atom
space-group type	Pm-3m, No. 221



Compound: CaGaRhS2
Source: the Alexandria database
Functional: meta-GGA SCAN
Structure: single point on PBEsol structure

POSCAR file:
```
CaGaRhS2
1.0
-4.040 -1.928 0.203
1.967 -3.904 2.076
-0.716 1.961 4.366
Ca Rh S Ga
1 1 2 1
Direct
0.500 0.500 0.500
0.000 0.000 0.000
0.000 0.000 0.500
0.000 0.500 0.000
0.500 0.000 0.000
```

## Properties
space-group type	P4/mmm, No. 123
formation energy (no corrections)	-0.589	eV per atom



Compound: MnPt2Br
Source: the Alexandria database
Functional: meta-GGA SCAN
Structure: single point on PBEsol structure

POSCAR file:
```
MnPt2Br
1.0
2.927 0.000 0.000
0.000 4.833 -0.019
0.000 -1.584 4.566
Br Mn Pt
1 1 2
Direct
0.500 0.000 0.000
0.500 0.500 0.500
0.000 0.500 0.000
0.000 0.000 0.500
```

## Properties
space-group type	Cmmm, No. 65
formation energy (no corrections)	0.316	eV per atom



Compound: Tl5Cd4
Source: the Alexandria database
Functional: meta-GGA SCAN
Structure: single point on PBEsol structure

POSCAR file:
```
Tl5Cd4
1.0
-1.464 -2.268 -3.921
-1.078 -7.034 1.581
-7.279 0.240 -0.311
Cd Tl
4 5
Direct
0.000 0.653 0.347
0.000 0.347 0.653
0.653 0.347 0.347
0.347 0.653 0.653
0.000 0.000 0.000
0.671 0.000 0.659
0.329 0.000 0.341
0.671 0.659 0.000
0.329 0.341 0.000
```

## Properties
DFT formation energy	0.071	eV per atom
energy relative to the lowest polymorph listed for this composition	0	meV/atom
space-group type	I4/mmm, No. 139



Compound: AlCr2Cl
Source: the Alexandria database
Functional: meta-GGA SCAN
Structure: single point on PBEsol structure

POSCAR file:
```
AlCr2Cl
1.0
-3.364 1.184 2.338
-0.849 -2.334 -3.929
-1.182 -4.082 0.366
Cr Al Cl
2 1 1
Direct
0.250 0.500 0.250
0.750 0.500 0.750
0.500 0.000 0.500
0.000 0.000 0.000
```

## Properties
energy relative to the lowest polymorph listed for this composition	511	meV/atom
space-group type	I4/mmm, No. 139
formation energy (no corrections)	0.364	eV per atom



Compound: CsCaP3O9
Source: the Alexandria database
Functional: meta-GGA SCAN
Structure: single point on PBEsol structure

POSCAR file:
```
CsCaP3O9
1.0
-6.629 -3.054 -2.053
3.003 -0.138 -9.489
4.820 -11.603 1.693
Cs Ca P O
4 4 12 36
Direct
0.750 0.604 0.086
0.750 0.104 0.414
0.250 0.396 0.914
0.250 0.896 0.586
0.250 0.513 0.222
0.250 0.013 0.278
0.750 0.487 0.778
0.750 0.987 0.722
0.052 0.751 0.852
0.448 0.251 0.648
0.552 0.249 0.148
0.948 0.749 0.352
0.948 0.249 0.148
0.552 0.749 0.352
0.448 0.751 0.852
0.052 0.251 0.648
0.250 0.788 0.043
0.250 0.288 0.457
0.750 0.212 0.957
0.750 0.712 0.543
0.085 0.821 0.964
0.415 0.321 0.536
0.585 0.179 0.036
0.915 0.679 0.464
0.915 0.179 0.036
0.585 0.679 0.464
0.415 0.821 0.964
0.085 0.321 0.536
0.982 0.853 0.777
0.518 0.353 0.723
0.482 0.147 0.223
0.018 0.647 0.277
0.018 0.147 0.223
0.482 0.647 0.277
0.518 0.853 0.777
0.982 0.353 0.723
0.954 0.621 0.867
0.546 0.121 0.633
0.454 0.379 0.133
0.046 0.879 0.367
0.046 0.379 0.133
0.454 0.879 0.367
0.546 0.621 0.867
0.954 0.121 0.633
0.250 0.641 0.067
0.250 0.141 0.433
0.750 0.359 0.933
0.750 0.859 0.567
0.250 0.710 0.814
0.250 0.210 0.686
0.750 0.290 0.186
0.750 0.790 0.314
0.250 0.890 0.128
0.250 0.390 0.372
0.750 0.110 0.872
0.750 0.610 0.628
```

## Properties
space-group type	Pnma, No. 62
formation energy (no corrections)	-2.707	eV per atom